# 1
! ErAg2GeO4 | the Alexandria database | PBE-GGA | relaxed; values from VASP
&SYSTEM
  ibrav = 0, nat = 8, ntyp = 4
/
ATOMIC_SPECIES
Ag 107.87 Ag.upf
Ge 72.64 Ge.upf
O 16.00 O.upf
Er 167.26 Er.upf
ATOMIC_POSITIONS crystal
Ag 0.000 0.000 0.000
Ge 0.000 0.500 0.500
O 0.383 0.834 0.773
O 0.617 0.390 0.451
O 0.939 0.549 0.166
Er 0.500 0.250 0.750
O 0.061 0.227 0.610
Ag 0.500 0.750 0.250
CELL_PARAMETERS angstrom
-0.978 3.915 4.492
-3.154 -4.956 -1.397
4.192 -4.333 -0.342
! ΔE_f (raw) = -1.515 eV/atom
! Crystal system = tetragonal
! Uncorrected energy = -5.8548 eV/atom



# 2
! HgPbO2 | the Alexandria database | PBE-GGA | relaxed; values from VASP
&SYSTEM
  ibrav = 0, nat = 4, ntyp = 3
/
ATOMIC_SPECIES
O 16.00 O.upf
Hg 200.59 Hg.upf
Pb 207.20 Pb.upf
ATOMIC_POSITIONS crystal
O 0.893 0.893 0.893
Hg 0.500 0.500 0.500
Pb 0.000 0.000 0.000
O 0.107 0.107 0.107
CELL_PARAMETERS angstrom
3.189 1.630 6.228
3.545 -1.809 5.981
5.742 0.285 4.308
! ΔE_f (raw) = -0.171 eV/atom
! Crystal system = trigonal
! Uncorrected energy = -3.6531 eV/atom



# 3
! NaCa2Bi3 | the Alexandria database | PBE-GGA | relaxed; values from VASP
&SYSTEM
  ibrav = 0, nat = 6, ntyp = 3
/
ATOMIC_SPECIES
Ca 40.08 Ca.upf
Bi 208.98 Bi.upf
Na 22.99 Na.upf
ATOMIC_POSITIONS crystal
Ca 0.500 0.500 0.167
Ca 0.500 0.500 0.833
Bi 0.000 0.000 0.329
Na 0.500 0.500 0.500
Bi 0.000 0.000 0.000
Bi 0.000 0.000 0.671
CELL_PARAMETERS angstrom
-0.365 -3.162 -1.838
-1.401 -1.586 3.005
-12.608 3.727 -3.910
! Crystal system = tetragonal
! Uncorrected energy = -3.4188 eV/atom
! ΔE_f = -0.5913 eV per atom



# 4
! Pu4W | the Alexandria database | PBE-GGA | relaxed; values from VASP
&SYSTEM
  ibrav = 0, nat = 5, ntyp = 2
/
ATOMIC_SPECIES
Pu 244.00 Pu.upf
W 183.84 W.upf
ATOMIC_POSITIONS crystal
Pu 0.500 0.000 0.500
W 0.500 0.500 0.500
Pu 0.500 0.500 0.000
Pu 0.000 0.500 0.500
Pu 0.000 0.000 0.000
CELL_PARAMETERS angstrom
5.338 0.000 0.000
0.000 5.338 0.000
0.000 0.000 5.338
! Crystal system = cubic
! Uncorrected energy = -13.2543 eV/atom
! ΔE_f = 0.8019 eV per atom



# 5
! TcPbC2 | the Alexandria database | PBE-GGA | relaxed; values from VASP
&SYSTEM
  ibrav = 0, nat = 4, ntyp = 3
/
ATOMIC_SPECIES
C 12.01 C.upf
Tc 98.00 Tc.upf
Pb 207.20 Pb.upf
ATOMIC_POSITIONS crystal
C 0.250 0.250 0.250
Tc 0.000 0.000 0.000
Pb 0.500 0.500 0.500
C 0.750 0.750 0.750
CELL_PARAMETERS angstrom
0.000 2.934 2.934
2.934 0.000 2.934
2.934 2.934 0.000
! Crystal system = cubic
! Uncorrected energy = -5.8700 eV/atom
! ΔE_f = 2.2605 eV per atom



# 6
! CoSn6Pd | the Alexandria database | PBE-GGA | relaxed; values from VASP
&SYSTEM
  ibrav = 0, nat = 8, ntyp = 3
/
ATOMIC_SPECIES
Sn 118.71 Sn.upf
Pd 106.42 Pd.upf
Co 58.93 Co.upf
ATOMIC_POSITIONS crystal
Sn 0.590 0.218 0.267
Sn 0.410 0.782 0.733
Sn 0.020 0.476 0.709
Sn 0.266 0.955 0.181
Pd 0.500 0.500 0.500
Co 0.000 0.000 0.000
Sn 0.734 0.045 0.819
Sn 0.980 0.524 0.291
CELL_PARAMETERS angstrom
-5.932 -0.980 2.580
-3.984 -4.164 -1.741
-1.370 -6.166 4.081
! Crystal system = triclinic
! Uncorrected energy = -4.6178 eV/atom
! ΔE_f = -0.0784 eV per atom



# 7
! Ce2Ti2Fe22H | the Alexandria database | PBE-GGA | relaxed; values from VASP
&SYSTEM
  ibrav = 0, nat = 27, ntyp = 4
/
ATOMIC_SPECIES
Fe 55.84 Fe.upf
Ce 140.12 Ce.upf
Ti 47.87 Ti.upf
H 1.01 H.upf
ATOMIC_POSITIONS crystal
Fe 0.180 0.359 0.822
Fe 0.387 0.774 0.887
Fe 0.110 0.219 0.389
Fe 0.000 0.501 0.001
Fe 0.751 0.001 0.251
Fe 0.752 0.003 0.750
Fe 0.614 0.229 0.115
Ce 0.504 0.007 0.504
Ti 0.314 0.628 0.315
Fe 0.501 0.501 0.501
Ce 0.004 0.007 0.004
Ti 0.815 0.631 0.815
Fe 0.890 0.779 0.610
Fe 0.250 0.001 0.251
Fe 0.885 0.771 0.386
Fe 0.117 0.234 0.616
Fe 0.388 0.775 0.111
Fe 0.611 0.222 0.888
Fe 0.323 0.645 0.679
Fe 0.500 0.501 0.001
Fe 0.678 0.356 0.321
Fe 0.176 0.352 0.176
H 0.503 0.006 0.003
Fe 0.677 0.354 0.677
Fe 0.821 0.641 0.179
Fe 0.000 0.501 0.501
Fe 0.252 0.003 0.750
CELL_PARAMETERS angstrom
-0.231 -4.548 -1.186
-0.568 0.798 6.386
-11.938 0.920 -1.204
! Crystal system = monoclinic
! Uncorrected energy = -8.1191 eV/atom



# 8
! Mn2Au | the Alexandria database | PBE-GGA | relaxed; values from VASP
&SYSTEM
  ibrav = 0, nat = 6, ntyp = 2
/
ATOMIC_SPECIES
Au 196.97 Au.upf
Mn 54.94 Mn.upf
ATOMIC_POSITIONS crystal
Au 0.085 0.915 0.250
Mn 0.250 0.750 0.750
Au 0.915 0.085 0.750
Mn 0.399 0.601 0.250
Mn 0.750 0.250 0.250
Mn 0.601 0.399 0.750
CELL_PARAMETERS angstrom
1.868 -5.985 0.000
1.868 5.985 0.000
0.000 0.000 3.981
! Crystal system = orthorhombic
! Uncorrected energy = -7.1405 eV/atom
! ΔE_f = 0.0650 eV per atom



# 9
! KNi2Pt | the Alexandria database | PBE-GGA | relaxed; values from VASP
&SYSTEM
  ibrav = 0, nat = 4, ntyp = 3
/
ATOMIC_SPECIES
Pt 195.08 Pt.upf
Ni 58.69 Ni.upf
K 39.10 K.upf
ATOMIC_POSITIONS crystal
Pt 0.500 0.500 0.250
Ni 0.000 0.000 0.416
K 0.500 0.500 0.750
Ni 0.000 0.000 0.084
CELL_PARAMETERS angstrom
3.125 0.000 0.000
0.000 3.125 0.000
0.000 0.000 7.562
! Crystal system = tetragonal
! Uncorrected energy = -4.2843 eV/atom
! ΔE_f = 0.3910 eV per atom



# 10
! LiMgZn2 | the Alexandria database | PBE-GGA | relaxed; values from VASP
&SYSTEM
  ibrav = 0, nat = 4, ntyp = 3
/
ATOMIC_SPECIES
Li 6.94 Li.upf
Zn 65.41 Zn.upf
Mg 24.30 Mg.upf
ATOMIC_POSITIONS crystal
Li 0.501 0.499 0.000
Zn 0.999 0.001 0.000
Mg 0.750 0.250 0.500
Zn 0.250 0.750 0.500
CELL_PARAMETERS angstrom
4.483 -0.047 -0.013
0.011 4.483 -0.013
-2.256 -2.227 3.162
! Crystal system = monoclinic
! Uncorrected energy = -1.6700 eV/atom
! ΔE_f = -0.1559 eV per atom



# 11
! Tm2ThTl | the Alexandria database | PBE-GGA | relaxed; values from VASP
&SYSTEM
  ibrav = 0, nat = 4, ntyp = 3
/
ATOMIC_SPECIES
Tm 168.93 Tm.upf
Th 232.04 Th.upf
Tl 204.38 Tl.upf
ATOMIC_POSITIONS crystal
Tm 0.000 0.000 0.233
Th 0.500 0.500 0.500
Tm 0.000 0.000 0.767
Tl 0.500 0.500 0.000
CELL_PARAMETERS angstrom
3.580 0.000 0.000
0.000 3.580 0.000
0.000 0.000 8.957
! Crystal system = tetragonal
! Uncorrected energy = -4.8644 eV/atom
! ΔE_f = -0.1822 eV per atom



# 12
! LaNi2S | the Alexandria database | PBE-GGA | relaxed; values from VASP
&SYSTEM
  ibrav = 0, nat = 8, ntyp = 3
/
ATOMIC_SPECIES
Ni 58.69 Ni.upf
La 138.91 La.upf
S 32.06 S.upf
ATOMIC_POSITIONS crystal
Ni 0.004 0.040 0.075
Ni 0.923 0.287 0.314
La 0.604 0.183 0.790
Ni 0.428 0.320 0.133
Ni 0.854 0.571 0.021
La 0.445 0.783 0.335
S 0.300 0.728 0.921
S 0.040 0.425 0.549
CELL_PARAMETERS angstrom
-3.365 -1.740 -1.375
0.521 -4.689 1.207
-3.574 0.352 7.224
! ΔE_f (raw) = -0.846 eV/atom
! Crystal system = triclinic
! Uncorrected energy = -6.0000 eV/atom